one:
Compound: Hf2As2I
Source: the Alexandria database
Functional: PBE-GGA
Structure: optimized geometry

Properties
**Fermi-level density of states**: 3.38 states/eV per cell

Geometry as CIF:
```
data_Hf2As2I
_symmetry_space_group_name_H-M 'P 4/m b m'
_symmetry_Int_Tables_number 127
_symmetry_space_group_name_Hall '-P 4 2ab'
_cell_length_a 7.795
_cell_length_b 7.795
_cell_length_c 3.524
_cell_angle_alpha 90.00
_cell_angle_beta 90.00
_cell_angle_gamma 90.00
loop_
_atom_site_label
_atom_site_type_symbol
_atom_site_fract_x
_atom_site_fract_y
_atom_site_fract_z
Hf1 Hf 0.144 0.356 0.000
As1 As 0.138 0.638 0.500
I1 I 0.000 0.000 0.000
```


two:
Compound: Hf2As2I
Source: the Alexandria database
Functional: PBE-GGA
Structure: optimized geometry

Properties
**Fermi-level density of states**: 6.35 states/eV per cell

Geometry as CIF:
```
data_Hf2As2I
_symmetry_space_group_name_H-M 'I 4/m m m'
_symmetry_Int_Tables_number 139
_symmetry_space_group_name_Hall '-I 4 2'
_cell_length_a 4.836
_cell_length_b 4.836
_cell_length_c 10.525
_cell_angle_alpha 90.00
_cell_angle_beta 90.00
_cell_angle_gamma 90.00
loop_
_atom_site_label
_atom_site_type_symbol
_atom_site_fract_x
_atom_site_fract_y
_atom_site_fract_z
Hf1 Hf 0.000 0.500 0.250
As1 As 0.000 0.000 0.143
I1 I 0.000 0.000 0.500
```


According to the calculations, the structures order from most to least stable as one, two.


one:
Compound: HfAsIN2
Source: the Alexandria database
Functional: PBE-GGA
Structure: optimized geometry

Properties
**Fermi-level density of states**: 2.12 states/eV per cell

Geometry as CIF:
```
data_HfAsIN2
_symmetry_space_group_name_H-M 'P 4/m m m'
_symmetry_Int_Tables_number 123
_symmetry_space_group_name_Hall '-P 4 2'
_cell_length_a 4.045
_cell_length_b 4.045
_cell_length_c 5.226
_cell_angle_alpha 90.00
_cell_angle_beta 90.00
_cell_angle_gamma 90.00
loop_
_atom_site_label
_atom_site_type_symbol
_atom_site_fract_x
_atom_site_fract_y
_atom_site_fract_z
Hf1 Hf 0.000 0.000 0.000
As1 As 0.500 0.500 0.500
I1 I 0.500 0.500 0.000
N1 N 0.000 0.500 0.500
```


two:
Compound: HfAsIN2
Source: the Alexandria database
Functional: PBE-GGA
Structure: optimized geometry

Properties
**Fermi-level density of states**: 5.46 states/eV per cell

Geometry as CIF:
```
data_HfAsIN2
_symmetry_space_group_name_H-M 'P 4/m m m'
_symmetry_Int_Tables_number 123
_symmetry_space_group_name_Hall '-P 4 2'
_cell_length_a 4.171
_cell_length_b 4.171
_cell_length_c 6.026
_cell_angle_alpha 90.00
_cell_angle_beta 90.00
_cell_angle_gamma 90.00
loop_
_atom_site_label
_atom_site_type_symbol
_atom_site_fract_x
_atom_site_fract_y
_atom_site_fract_z
Hf1 Hf 0.000 0.000 0.000
As1 As 0.500 0.500 0.500
I1 I 0.000 0.000 0.500
N1 N 0.000 0.500 0.000
```


According to the calculations, the structures order from most to least stable as two, one.


one:
Compound: HfAsIO2
Source: the Alexandria database
Functional: PBE-GGA
Structure: optimized geometry

Properties
**Fermi-level density of states**: 3.45 states/eV per cell

Geometry as CIF:
```
data_HfAsIO2
_symmetry_space_group_name_H-M 'P 4/m m m'
_symmetry_Int_Tables_number 123
_symmetry_space_group_name_Hall '-P 4 2'
_cell_length_a 4.086
_cell_length_b 4.086
_cell_length_c 5.444
_cell_angle_alpha 90.00
_cell_angle_beta 90.00
_cell_angle_gamma 90.00
loop_
_atom_site_label
_atom_site_type_symbol
_atom_site_fract_x
_atom_site_fract_y
_atom_site_fract_z
Hf1 Hf 0.000 0.000 0.000
As1 As 0.500 0.500 0.500
I1 I 0.500 0.500 0.000
O1 O 0.000 0.500 0.500
```


two:
Compound: HfAsIO2
Source: the Alexandria database
Functional: PBE-GGA
Structure: optimized geometry

Properties
**Fermi-level density of states**: 1.96 states/eV per cell

Geometry as CIF:
```
data_HfAsIO2
_symmetry_space_group_name_H-M 'P 4/m m m'
_symmetry_Int_Tables_number 123
_symmetry_space_group_name_Hall '-P 4 2'
_cell_length_a 4.092
_cell_length_b 4.092
_cell_length_c 6.210
_cell_angle_alpha 90.00
_cell_angle_beta 90.00
_cell_angle_gamma 90.00
loop_
_atom_site_label
_atom_site_type_symbol
_atom_site_fract_x
_atom_site_fract_y
_atom_site_fract_z
Hf1 Hf 0.000 0.000 0.000
As1 As 0.500 0.500 0.500
I1 I 0.000 0.000 0.500
O1 O 0.000 0.500 0.000
```


According to the calculations, the structures order from most to least stable as two, one.


one:
Compound: HfAs2SeI
Source: the Alexandria database
Functional: PBE-GGA
Structure: optimized geometry

Properties
**Fermi-level density of states**: 4.92 states/eV per cell

Geometry as CIF:
```
data_HfAs2SeI
_symmetry_space_group_name_H-M 'P 4/m m m'
_symmetry_Int_Tables_number 123
_symmetry_space_group_name_Hall '-P 4 2'
_cell_length_a 5.312
_cell_length_b 5.312
_cell_length_c 5.038
_cell_angle_alpha 90.00
_cell_angle_beta 90.00
_cell_angle_gamma 90.00
loop_
_atom_site_label
_atom_site_type_symbol
_atom_site_fract_x
_atom_site_fract_y
_atom_site_fract_z
Hf1 Hf 0.000 0.000 0.000
As1 As 0.000 0.500 0.000
Se1 Se 0.000 0.000 0.500
I1 I 0.500 0.500 0.500
```


two:
Compound: HfAs2SeI
Source: the Alexandria database
Functional: PBE-GGA
Structure: optimized geometry

Properties
**Fermi-level density of states**: 2.22 states/eV per cell

Geometry as CIF:
```
data_HfAs2SeI
_symmetry_space_group_name_H-M 'P 4/m m m'
_symmetry_Int_Tables_number 123
_symmetry_space_group_name_Hall '-P 4 2'
_cell_length_a 5.256
_cell_length_b 5.256
_cell_length_c 5.109
_cell_angle_alpha 90.00
_cell_angle_beta 90.00
_cell_angle_gamma 90.00
loop_
_atom_site_label
_atom_site_type_symbol
_atom_site_fract_x
_atom_site_fract_y
_atom_site_fract_z
Hf1 Hf 0.000 0.000 0.000
As1 As 0.000 0.500 0.500
Se1 Se 0.500 0.500 0.000
I1 I 0.500 0.500 0.500
```


According to the calculations, the structures order from most to least stable as one, two.


one:
Compound: Hf2InAs2
Source: the Alexandria database
Functional: PBE-GGA
Structure: optimized geometry

Properties
**Fermi-level density of states**: 6.56 states/eV per cell

Geometry as CIF:
```
data_Hf2InAs2
_symmetry_space_group_name_H-M 'P 4/m b m'
_symmetry_Int_Tables_number 127
_symmetry_space_group_name_Hall '-P 4 2ab'
_cell_length_a 7.619
_cell_length_b 7.619
_cell_length_c 3.533
_cell_angle_alpha 90.00
_cell_angle_beta 90.00
_cell_angle_gamma 90.00
loop_
_atom_site_label
_atom_site_type_symbol
_atom_site_fract_x
_atom_site_fract_y
_atom_site_fract_z
Hf1 Hf 0.146 0.354 0.000
In1 In 0.000 0.000 0.000
As1 As 0.147 0.647 0.500
```


two:
Compound: Hf2InAs2
Source: the Alexandria database
Functional: PBE-GGA
Structure: optimized geometry

Properties
**Fermi-level density of states**: 10.36 states/eV per cell

Geometry as CIF:
```
data_Hf2InAs2
_symmetry_space_group_name_H-M 'P 4/m b m'
_symmetry_Int_Tables_number 127
_symmetry_space_group_name_Hall '-P 4 2ab'
_cell_length_a 7.681
_cell_length_b 7.681
_cell_length_c 3.441
_cell_angle_alpha 90.00
_cell_angle_beta 90.00
_cell_angle_gamma 90.00
loop_
_atom_site_label
_atom_site_type_symbol
_atom_site_fract_x
_atom_site_fract_y
_atom_site_fract_z
Hf1 Hf 0.146 0.354 0.000
In1 In 0.000 0.000 0.500
As1 As 0.143 0.643 0.500
```


According to the calculations, the structures order from most to least stable as one, two.


one:
Compound: HfInAs2
Source: the Alexandria database
Functional: PBE-GGA
Structure: optimized geometry

Properties
**Fermi-level density of states**: 4.32 states/eV per cell

Geometry as CIF:
```
data_HfInAs2
_symmetry_space_group_name_H-M 'R 3 m'
_symmetry_Int_Tables_number 160
_symmetry_space_group_name_Hall 'R 3 -2"'
_cell_length_a 3.8427
_cell_length_b 3.8427
_cell_length_c 22.0015
_cell_angle_alpha 90.00
_cell_angle_beta 90.00
_cell_angle_gamma 120.00
loop_
_atom_site_label
_atom_site_type_symbol
_atom_site_fract_x
_atom_site_fract_y
_atom_site_fract_z
Hf1 Hf 0.0000 0.0000 0.0000
In1 In 0.0000 0.0000 0.8334
As1 As 0.0000 0.0000 0.4062
As2 As 0.0000 0.0000 0.5956
```


two:
Compound: HfInAs2
Source: the Alexandria database
Functional: PBE-GGA
Structure: optimized geometry

Properties
**Fermi-level density of states**: 6.92 states/eV per cell

Geometry as CIF:
```
data_HfInAs2
_symmetry_space_group_name_H-M 'F m -3 m'
_symmetry_Int_Tables_number 225
_symmetry_space_group_name_Hall '-F 4 2 3'
_cell_length_a 6.923
_cell_length_b 6.923
_cell_length_c 6.923
_cell_angle_alpha 90.00
_cell_angle_beta 90.00
_cell_angle_gamma 90.00
loop_
_atom_site_label
_atom_site_type_symbol
_atom_site_fract_x
_atom_site_fract_y
_atom_site_fract_z
Hf1 Hf 0.000 0.000 0.000
In1 In 0.000 0.000 0.500
As1 As 0.250 0.250 0.250
```


According to the calculations, the structures order from most to least stable as one, two.